(1)
The following is a DFT calculation (GGA-PBE) of a relaxed structure of KBe2GaOs.

Summary:
Final energy = -3.43 eV per atom
Symmetry = No. 123
Magnetic moment = 0.0 μB/f.u.
DOS(E_F) = 1.81 states/eV/f.u.

```
data_KBe2GaOs
_chemical_formula_sum 'K1 Be2 Ga1 Os1'
_space_group_name_H-M_alt 'P 1'
_space_group_IT_number 1
_cell_length_a 4.429
_cell_length_b 5.525
_cell_length_c 4.429
_cell_angle_alpha 90.00
_cell_angle_beta 90.00
_cell_angle_gamma 90.00
loop_
_space_group_symop_operation_xyz
'x,y,z'
loop_
_atom_site_label
_atom_site_type_symbol
_atom_site_fract_x
_atom_site_fract_y
_atom_site_fract_z
_atom_site_occupancy
Be1 Be 0.500 0.000 0.000 1
Be2 Be 0.000 0.000 0.500 1
Ga1 Ga 0.500 0.500 0.500 1
Os1 Os 0.000 0.000 0.000 1
K1 K 0.000 0.500 0.000 1
```



(2)
The following is a DFT calculation (GGA-PBE) of a relaxed structure of FeCu2SbRh.

Summary:
Formation energy (no corrections) = 0.8691 eV/atom
Final energy = -4.76 eV per atom
Symmetry = No. 123
Magnetic moment = 0.0 μB/f.u.
DOS(E_F) = 6.80 states/eV/f.u.

```
data_FeCu2SbRh
_chemical_formula_sum 'Fe1 Cu2 Sb1 Rh1'
_space_group_name_H-M_alt 'P 1'
_space_group_IT_number 1
_cell_length_a 4.475
_cell_length_b 4.379
_cell_length_c 4.475
_cell_angle_alpha 90.00
_cell_angle_beta 90.00
_cell_angle_gamma 90.00
loop_
_space_group_symop_operation_xyz
'x,y,z'
loop_
_atom_site_label
_atom_site_type_symbol
_atom_site_fract_x
_atom_site_fract_y
_atom_site_fract_z
_atom_site_occupancy
Cu1 Cu 0.500 0.000 0.000 1
Cu2 Cu 0.000 0.000 0.500 1
Sb1 Sb 0.500 0.500 0.500 1
Fe1 Fe 0.000 0.000 0.000 1
Rh1 Rh 0.000 0.500 0.000 1
```